! Na4CrH8SO7 PBE with a Hubbard U relaxed; values from VASP
! - Energy: -5.028 eV/atom
&SYSTEM
  ibrav = 0, nat = 84, ntyp = 5
/
ATOMIC_SPECIES
H 1.01 H.upf
O 16.00 O.upf
Na 22.99 Na.upf
S 32.06 S.upf
Cr 52.00 Cr.upf
CELL_PARAMETERS angstrom
5.8530 0.0072 0.0000
-2.6806 10.9793 0.0000
0.0000 0.0000 13.7708
ATOMIC_POSITIONS angstrom
H 2.5540 9.7310 8.9288
H 0.3248 3.8639 13.3530
H 3.9998 1.8682 12.6985
O -1.1095 6.5373 9.5215
O 0.4829 1.2659 1.0784
Na -1.1922 10.8956 12.9867
O 3.5042 1.0460 12.5259
H 1.2400 6.9514 0.4456
S 0.3490 0.9881 7.0820
S 4.1637 4.5087 0.1966
H 0.5129 3.6286 5.8131
O -0.3671 10.1736 4.0794
Na -1.9705 8.4019 4.3735
O -0.3318 9.9405 1.2449
Na 2.3111 2.4072 10.9285
O 4.0298 4.2310 7.9638
H 0.3474 8.9222 12.0805
H -0.7153 10.5142 4.9241
Na 3.0243 5.5805 6.1013
H 0.9771 1.9630 0.6083
O 0.2308 1.0477 11.1347
Na 2.9883 5.8056 2.7426
Cr 3.1036 5.2806 9.4484
H -1.0155 9.3536 7.3032
O 2.1992 6.3025 10.9648
H 0.6250 5.0245 1.9612
Cr 1.7633 10.7703 11.2078
H 1.9324 4.0351 13.3252
O 3.3496 1.8943 5.9845
H 1.6877 3.4325 8.5757
S 2.8234 9.9984 6.6888
Na 4.3286 0.3159 4.1428
H -0.7219 6.7451 2.0434
Na 3.8026 8.0742 11.2589
O 3.0618 1.4803 2.4338
H 2.8476 7.1225 0.4178
Na -0.6302 2.9122 2.5119
O -0.1772 9.0922 7.7863
O 4.2819 4.4491 4.2493
O -0.8574 6.7555 5.8070
H 4.1879 1.6329 6.4676
Na 0.1841 5.1809 11.0282
O 4.0201 4.0471 10.7686
H -0.3632 7.4527 6.2771
H 3.5356 3.5338 7.4937
H 2.5474 5.9619 11.8095
O 2.0093 7.3839 0.9009
O 3.5395 0.8129 9.6914
O -0.8477 6.9393 3.0022
H 0.0648 1.7274 11.8139
O 1.7215 6.9699 4.4516
Na 5.1429 2.5846 9.3973
O 2.1639 6.5356 8.1303
Na 0.8613 8.5793 2.8422
Na 2.2016 3.0896 4.0431
O 2.6799 9.5368 9.8876
Na 4.3646 0.0908 0.7841
H 2.6595 7.3578 7.9576
Cr 1.4091 0.2162 2.5630
H 3.8877 0.4723 8.8466
O 2.9416 9.9388 2.6361
O 0.1106 9.5062 11.3370
H 4.4479 3.7694 4.9285
Na 0.1481 5.4060 7.6695
H 2.8250 2.0643 1.6903
H 1.4847 7.5540 5.1951
Cr 0.0688 5.7059 4.3224
H 2.5802 1.4617 6.4398
O 0.4925 1.4497 3.8832
O 2.6895 9.7206 12.6924
H 0.5922 9.5248 7.3310
O 0.9732 4.6839 2.8060
O 1.1631 3.6026 12.8699
H -0.8273 9.1183 1.0722
S -0.9913 6.4778 13.5742
O 1.4509 4.0166 9.3192
H 0.6184 1.2555 4.8420
H -1.2755 7.2170 8.8423
Na 0.9708 7.8968 9.7276
H 3.8943 4.2414 11.7274
H 2.1954 9.0235 13.1625
H 3.1076 9.2591 1.9569
Na -1.1562 10.6706 9.6280
O 1.0085 4.4508 5.6405